[1]
# DyTh3S4 (PBE, relaxed)
# **ΔE_f (raw)**: -1.87 eV/atom
# **Space-group type**: P2/c, No. 13
# **Raw total energy**: -7.293 eV per atom
data_DyTh3S4
_chemical_formula_sum 'Dy2 Th6 S8'
_cell_length_a 6.8713
_cell_length_b 6.9368
_cell_length_c 8.1591
_cell_angle_alpha 90.00
_cell_angle_beta 90.00
_cell_angle_gamma 110.29
_symmetry_space_group_name_H-M 'P 1'
_symmetry_Int_Tables_number 1
loop_
_symmetry_equiv_pos_as_xyz
'x,y,z'
loop_
_atom_site_label
_atom_site_fract_x
_atom_site_fract_y
_atom_site_fract_z
Th1 0.7500 0.0000 0.3751
Th2 0.2500 0.5000 0.3757
Th3 0.7500 0.5000 0.1253
Th4 0.2500 0.0000 0.6249
Th5 0.2500 0.5000 0.8747
Th6 0.7500 0.5000 0.6243
S1 0.5055 0.7560 0.6309
S2 0.5003 0.2404 0.8801
S3 0.0055 0.7560 0.3691
S4 0.0003 0.2404 0.1199
S5 0.9945 0.2440 0.6309
S6 0.4997 0.7596 0.1199
S7 0.4945 0.2440 0.3691
S8 0.9997 0.7596 0.8801
Dy1 0.2500 0.0000 0.1241
Dy2 0.7500 0.0000 0.8759


[2]
# DyThS2 (PBE, relaxed)
# **ΔE_f (raw)**: -1.88 eV/atom
# **Space-group type**: P6_3/mmc, No. 194
# **Raw total energy**: -6.945 eV per atom
data_DyThS2
_chemical_formula_sum 'Dy2 Th2 S4'
_cell_length_a 3.8904
_cell_length_b 3.8904
_cell_length_c 13.6610
_cell_angle_alpha 90.00
_cell_angle_beta 90.00
_cell_angle_gamma 120.00
_symmetry_space_group_name_H-M 'P 1'
_symmetry_Int_Tables_number 1
loop_
_symmetry_equiv_pos_as_xyz
'x,y,z'
loop_
_atom_site_label
_atom_site_fract_x
_atom_site_fract_y
_atom_site_fract_z
Dy1 0.0000 0.0000 0.0000
Dy2 0.0000 0.0000 0.5000
Th1 0.6667 0.3333 0.2500
Th2 0.3333 0.6667 0.7500
S1 0.3333 0.6667 0.3832
S2 0.6667 0.3333 0.8832
S3 0.3333 0.6667 0.1168
S4 0.6667 0.3333 0.6168


[3]
# Dy4ThS6 (PBE, relaxed)
# **ΔE_f (raw)**: -2.00 eV/atom
# **Space-group type**: Cmcm, No. 63
# **Raw total energy**: -6.596 eV per atom
data_Dy4ThS6
_chemical_formula_sum 'Dy8 Th2 S12'
_cell_length_a 3.8735
_cell_length_b 6.7233
_cell_length_c 19.6586
_cell_angle_alpha 90.00
_cell_angle_beta 90.00
_cell_angle_gamma 106.74
_symmetry_space_group_name_H-M 'P 1'
_symmetry_Int_Tables_number 1
loop_
_symmetry_equiv_pos_as_xyz
'x,y,z'
loop_
_atom_site_label
_atom_site_fract_x
_atom_site_fract_y
_atom_site_fract_z
Dy1 0.8621 0.7243 0.9609
Dy2 0.1379 0.2757 0.0391
Dy3 0.5888 0.1776 0.8751
Dy4 0.1379 0.2757 0.4609
Dy5 0.4112 0.8224 0.3751
Dy6 0.8621 0.7243 0.5391
Dy7 0.5888 0.1776 0.6249
Dy8 0.4112 0.8224 0.1249
S1 0.6862 0.3725 0.7500
S2 0.9512 0.9023 0.8329
S3 0.2328 0.4656 0.5917
S4 0.3138 0.6275 0.2500
S5 0.2328 0.4656 0.9083
S6 0.5000 0.0000 0.5000
S7 0.7672 0.5344 0.0917
S8 0.0488 0.0977 0.1671
S9 0.5000 0.0000 0.0000
S10 0.0488 0.0977 0.3329
S11 0.9512 0.9023 0.6671
S12 0.7672 0.5344 0.4083
Th1 0.6552 0.3105 0.2500
Th2 0.3448 0.6895 0.7500


[4]
# DyThS4 (PBE, relaxed)
# **ΔE_f (raw)**: -1.57 eV/atom
# **Space-group type**: P2_1/c, No. 14
# **Raw total energy**: -6.324 eV per atom
data_DyThS4
_chemical_formula_sum 'Dy2 Th2 S8'
_cell_length_a 6.8264
_cell_length_b 6.6914
_cell_length_c 6.7641
_cell_angle_alpha 90.00
_cell_angle_beta 93.22
_cell_angle_gamma 90.00
_symmetry_space_group_name_H-M 'P 1'
_symmetry_Int_Tables_number 1
loop_
_symmetry_equiv_pos_as_xyz
'x,y,z'
loop_
_atom_site_label
_atom_site_fract_x
_atom_site_fract_y
_atom_site_fract_z
Th1 0.0000 0.0000 0.0000
Th2 0.5000 0.5000 0.0000
S1 0.8537 0.6426 0.1460
S2 0.1463 0.3574 0.8540
S3 0.6293 0.6270 0.6241
S4 0.1293 0.8730 0.6241
S5 0.6463 0.1426 0.8540
S6 0.3707 0.3730 0.3759
S7 0.3537 0.8574 0.1460
S8 0.8707 0.1270 0.3759
Dy1 0.5000 0.0000 0.5000
Dy2 0.0000 0.5000 0.5000